1.
## BaDyTcO6 (PBE)

Data for BaDyTcO6 after structural relaxation.

Geometry as extended XYZ:
```
9
Lattice="5.6095 0.0000 0.0000 -2.8048 4.8580 0.0000 0.0000 0.0000 5.6223" Properties=species:S:1:pos:R:3 pbc="T T T"
Ba 0.0000 0.0000 0.0000
Dy 2.8048 1.6193 2.8112
Tc 0.0000 3.2387 2.8112
O -0.8790 1.9505 1.7097
O -1.5551 3.1215 3.9126
O 0.8790 1.9505 3.9126
O -0.6761 4.6440 1.7097
O 1.5551 3.1215 1.7097
O 0.6761 4.6440 3.9126
```

E in eV per atom: -7.465

---

2.
## Ba2DyTcO6 (PBE)

Data for Ba2DyTcO6 after structural relaxation.

Geometry as extended XYZ:
```
20
Lattice="3.0230 1.7453 10.0819 -3.0230 1.7453 10.0819 0.0000 -3.4907 10.0819" Properties=species:S:1:pos:R:3 pbc="T T T"
Ba 0.0000 0.0000 4.0787
Ba 0.0000 0.0000 8.4866
Ba 0.0000 0.0000 21.7591
Ba 0.0000 0.0000 26.1670
Dy 0.0000 0.0000 12.2726
Dy 0.0000 0.0000 17.9731
Tc 0.0000 0.0000 0.0000
Tc 0.0000 0.0000 15.1228
O -1.4082 -0.8130 13.9372
O 0.0000 -1.8837 11.2151
O -1.6314 0.9419 11.2151
O -1.6314 -0.9419 19.0305
O 0.0000 -1.6261 16.3085
O -1.4082 0.8130 16.3085
O 1.4082 -0.8130 13.9372
O 0.0000 1.6261 13.9372
O 1.6314 0.9419 11.2152
O 1.6314 -0.9419 19.0305
O 0.0000 1.8837 19.0305
O 1.4082 0.8130 16.3085
```

E in eV per atom: -7.349

---

3.
## BaDyTc2O8 (PBE)

Data for BaDyTc2O8 after structural relaxation.

Geometry as extended XYZ:
```
12
Lattice="5.9280 0.0000 0.0000 -2.9640 5.1338 0.0000 0.0000 0.0000 7.5975" Properties=species:S:1:pos:R:3 pbc="T T T"
Ba 0.0000 0.0000 0.0000
Dy 0.0000 0.0000 3.7987
Tc 0.0000 3.4225 5.8550
Tc 2.9640 1.7113 1.7424
O -0.0064 1.6877 5.2879
O -1.4992 4.2955 5.2879
O 1.4584 0.8494 2.3096
O 0.0000 3.4225 0.0355
O 2.9640 1.7113 7.5620
O 1.5056 4.2844 5.2879
O 4.4632 0.8383 2.3096
O 2.9704 3.4461 2.3096
```

E in eV per atom: -7.652

---

4.
## BaDy3Te4O12 (PBE)

Data for BaDy3Te4O12 after structural relaxation.

Geometry as extended XYZ:
```
20
Lattice="5.8325 3.3674 3.0373 -5.8325 3.3674 3.0373 0.0000 -6.7347 3.0373" Properties=species:S:1:pos:R:3 pbc="T T T"
Ba 0.0000 0.0000 0.0000
Dy -3.3708 -0.8964 3.0373
Dy 2.4617 -2.4710 3.0373
Dy 0.9091 3.3674 3.0373
Te -2.3265 -4.0297 4.5559
Te 0.0000 0.0000 4.5559
Te -2.3265 4.0297 4.5559
Te 4.6531 0.0000 4.5559
O -1.4258 -1.4129 2.0469
O -5.0575 0.0000 4.5559
O -0.5107 1.9412 2.0469
O -2.0500 0.0000 4.5559
O 1.9365 -0.5283 2.0469
O 2.5287 -4.3799 4.5559
O 1.0250 -1.7754 4.5559
O -0.5107 -1.9412 7.0649
O 1.0250 1.7754 4.5559
O -1.4258 1.4129 7.0649
O 2.5287 4.3799 4.5559
O 1.9365 0.5283 7.0649
```

E in eV per atom: -6.313

---

In the order shown, the computed formation energy (no corrections) values come out to -2.283 -2.492 -2.075 -1.923 eV/atom.
In the order shown, the computed magnetization values come out to 0.0 2.0 3.0 0.4 μB/f.u..